A plane-wave DFT calculation with PBE was carried out for La3Pm7Tm after structural relaxation.

Computed properties:
The value obtained for the formation energy is 0.223 eV/atom. The volume is 397 Å³ per cell. As for the density of states at the Fermi level: 16.3 states/eV/cell.

Cell: 7.842 7.842 6.535 Å, 92.92 92.92 82.12°
Fractional coordinates of all 11 atoms:
La 0.000 0.000 0.000
La 0.175 0.825 0.500
La 0.825 0.175 0.500
Pm 0.091 0.432 0.238
Pm 0.240 0.240 0.713
Pm 0.432 0.091 0.238
Pm 0.500 0.500 0.500
Pm 0.568 0.909 0.762
Pm 0.760 0.760 0.287
Pm 0.909 0.568 0.762
Tm 0.500 0.500 0.000